No. 1
# Cs2LaRhCl6

A geometry-optimized Cs2LaRhCl6 structure (PBE, the Alexandria database).

Properties
- SG: I4/mmm (139)
- DOS at the Fermi energy: 0.0000 states/eV per atom
- ΔE_f (raw): -1.6863 eV per atom

a = 7.6576 Å, b = 7.6576 Å, c = 7.6576 Å
α = 120.06°, β = 120.06°, γ = 89.90°
Closest atoms and distances in Å follow each position.
Positions (direct):
Cs  0.2500  0.7500  0.5000  12 Cl 3.83
Cs  0.7500  0.2500  0.5000  12 Cl 3.83
La  0.0000  0.0000  0.0000  6 Cl 2.78
Rh  0.5000  0.5000  0.0000  6 Cl 2.63-2.64
Cl  0.2562  0.2562  0.0000  1 Rh 2.64, 1 La 2.78
Cl  0.2567  0.2567  0.5134  1 Rh 2.63, 1 La 2.78
Cl  0.2567  0.7433  0.0000  1 Rh 2.63, 1 La 2.78
Cl  0.7433  0.2567  0.0000  1 Rh 2.63, 1 La 2.78
Cl  0.7433  0.7433  0.4866  1 Rh 2.63, 1 La 2.78
Cl  0.7438  0.7438  0.0000  1 Rh 2.64, 1 La 2.78

No. 2
# ScTl3

A geometry-optimized ScTl3 structure (PBE, the Alexandria database).

Properties
- SG: Pmmm (47)
- DOS at the Fermi energy: 0.8180 states/eV per atom
- Formation enthalpy at 0 K: -0.1 eV per formula unit

a = 3.5181 Å, b = 4.5715 Å, c = 6.6163 Å
α = 90.00°, β = 90.00°, γ = 90.00°
Closest atoms and distances in Å follow each position.
Positions (direct):
Sc  0.0000  0.0000  0.0000  10 Tl 3.28-3.31, 2 Sc 3.52
Tl  0.0000  0.0000  0.5000  2 Sc 3.31, 10 Tl 3.37-3.52
Tl  0.5000  0.5000  0.2355  5 Tl 3.12-3.37, 4 Sc 3.28
Tl  0.5000  0.5000  0.7645  5 Tl 3.12-3.37, 4 Sc 3.28

No. 3
# TaRh5

A geometry-optimized TaRh5 structure (PBE, the Alexandria database).

Properties
- SG: Amm2 (38)
- DOS at the Fermi energy: 1.1932 states/eV per atom
- Formation enthalpy at 0 K: -1.7 eV per formula unit

a = 4.4090 Å, b = 2.8341 Å, c = 14.1775 Å
α = 90.00°, β = 90.00°, γ = 90.00°
Closest atoms and distances in Å follow each position.
Positions (direct):
Ta  0.0000  0.0000  0.0000  10 Rh 2.69-2.77, 2 Ta 2.83
Ta  0.0000  0.5000  0.5000  10 Rh 2.69-2.77, 2 Ta 2.83
Rh  0.0000  0.0000  0.3387  2 Ta 2.69, 10 Rh 2.70-2.83
Rh  0.0000  0.0000  0.6676  10 Rh 2.72-2.83, 2 Ta 2.77
Rh  0.0000  0.5000  0.1676  10 Rh 2.72-2.83, 2 Ta 2.77
Rh  0.0000  0.5000  0.8387  2 Ta 2.69, 10 Rh 2.70-2.83
Rh  0.5000  0.0000  0.2195  12 Rh 2.72-2.83
Rh  0.5000  0.0000  0.5528  4 Ta 2.73, 8 Rh 2.74-2.83
Rh  0.5000  0.0000  0.8846  10 Rh 2.70-2.83, 2 Ta 2.75
Rh  0.5000  0.5000  0.0528  4 Ta 2.73, 8 Rh 2.74-2.83
Rh  0.5000  0.5000  0.3846  10 Rh 2.70-2.83, 2 Ta 2.75
Rh  0.5000  0.5000  0.7195  12 Rh 2.72-2.83

No. 4
# CoCuRh2

A geometry-optimized CoCuRh2 structure (PBE, the Alexandria database).

Properties
- SG: P4mm (99)
- DOS at the Fermi energy: 1.4398 states/eV per atom
- Excess energy over the best structure of this formula in the dataset: 72.3 meV per atom
- Formation enthalpy at 0 K: 0.4 eV per formula unit

a = 2.6933 Å, b = 2.6933 Å, c = 7.1753 Å
α = 90.00°, β = 90.00°, γ = 90.00°
Closest atoms and distances in Å follow each position.
Positions (direct):
Co  0.0000  0.0000  0.0000  4 Cu 2.53, 4 Rh 2.58, 4 Co 2.69
Cu  0.5000  0.5000  0.2326  4 Co 2.53, 4 Rh 2.65, 4 Cu 2.69
Rh  0.0000  0.0000  0.4898  4 Cu 2.65, 8 Rh 2.69-2.70
Rh  0.5000  0.5000  0.7571  4 Co 2.58, 8 Rh 2.69-2.70